No. 1
! GGA-PBE Pm, relaxed; values from VASP
! ΔE to the lowest computed polymorph: 756 meV per atom
! SG: No. 194
! Volume: 37.70 Å³ per atom
! Calculated total energy: -3.989 eV per atom
! ΔE_f: 0.756 eV/atom
&SYSTEM
  ibrav = 0, nat = 4, ntyp = 1
/
ATOMIC_SPECIES
Pm 145.00 Pm.upf
CELL_PARAMETERS angstrom
5.594 0.000 0.000
-2.797 4.845 0.000
0.000 0.000 5.565
ATOMIC_POSITIONS crystal
Pm 0.000 0.000 0.250
Pm 0.000 0.000 0.750
Pm 0.333 0.667 0.250
Pm 0.667 0.333 0.750

---

No. 2
! GGA-PBE Pm, relaxed; values from VASP
! ΔE to the lowest computed polymorph: 136 meV per atom
! SG: No. 229
! Volume: 34.38 Å³ per atom
! Calculated total energy: -4.609 eV per atom
! ΔE_f: 0.136 eV/atom
&SYSTEM
  ibrav = 0, nat = 1, ntyp = 1
/
ATOMIC_SPECIES
Pm 145.00 Pm.upf
CELL_PARAMETERS angstrom
-2.048 2.048 2.048
2.048 -2.048 2.048
2.048 2.048 -2.048
ATOMIC_POSITIONS crystal
Pm 0.000 0.000 0.000